Entry 1:
Density functional theory data (GGA-PBEsol) for a relaxed structure of K4BaSi.

Properties
Calculated total energy = -9.516 eV per cell
E_form (uncorrected) = 0.486 eV per atom
V = 46.03 Å³/atom

abc: 7.3098 7.3098 7.3098
angles: 60.00 60.00 60.00
Closest atoms and distances in Å follow each position.
Fractional coordinates of all 6 atoms:
K 0.1219 0.1219 0.1219  6 K 3.56-3.75
K 0.1219 0.1219 0.6343  6 K 3.56-3.75
K 0.1219 0.6343 0.1219  6 K 3.56-3.75
K 0.6343 0.1219 0.1219  6 K 3.56-3.75
Ba 0.5000 0.5000 0.5000  12 K 4.30, 4 Si 4.48
Si 0.7500 0.7500 0.7500  12 K 4.28, 4 Ba 4.48

---

Entry 2:
Density functional theory data (GGA-PBEsol) for a relaxed structure of K2BaSi.

Properties
Calculated total energy = -9.841 eV per cell
E_form (uncorrected) = 0.080 eV per atom
V = 46.23 Å³/atom

abc: 4.0500 4.0500 11.2748
angles: 90.00 90.00 90.00
Closest atoms and distances in Å follow each position.
Fractional coordinates of all 4 atoms:
K 0.0000 0.0000 0.0000  4 K 4.05
K 0.5000 0.5000 0.3387  4 Si 3.49, 1 Ba 3.68
Ba 0.5000 0.5000 0.6648  4 Si 3.32, 1 K 3.68
Si 0.0000 0.0000 0.5160  4 Ba 3.32, 4 K 3.49

---

Entry 3:
Density functional theory data (GGA-PBEsol) for a relaxed structure of KBaSi3.

Properties
Calculated total energy = -14.173 eV per cell
E_form (uncorrected) = 1.270 eV per atom
V = 37.79 Å³/atom

abc: 5.7381 5.7381 5.7381
angles: 90.00 90.00 90.00
Closest atoms and distances in Å follow each position.
Fractional coordinates of all 5 atoms:
K 0.0000 0.0000 0.0000  12 Si 4.06
Ba 0.5000 0.5000 0.5000  6 Si 2.87
Si 0.0000 0.5000 0.5000  2 Ba 2.87
Si 0.5000 0.0000 0.5000  2 Ba 2.87
Si 0.5000 0.5000 0.0000  2 Ba 2.87

---

Entry 4:
Density functional theory data (GGA-PBEsol) for a relaxed structure of K2BaSi.

Properties
Calculated total energy = -39.339 eV per cell
E_form (uncorrected) = 0.082 eV per atom
V = 34.60 Å³/atom

abc: 8.2113 8.2113 8.2113
angles: 90.00 90.00 90.00
Closest atoms and distances in Å follow each position.
Fractional coordinates of all 16 atoms:
K 0.0000 0.0000 0.0000  4 K 3.56, 4 Si 3.56
K 0.0000 0.5000 0.5000  4 K 3.56, 4 Si 3.56
K 0.2500 0.2500 0.2500  4 Ba 3.56, 4 K 3.56
K 0.2500 0.7500 0.7500  4 Ba 3.56, 4 K 3.56
K 0.5000 0.0000 0.5000  4 K 3.56, 4 Si 3.56
K 0.5000 0.5000 0.0000  4 K 3.56, 4 Si 3.56
K 0.7500 0.2500 0.7500  4 Ba 3.56, 4 K 3.56
K 0.7500 0.7500 0.2500  4 Ba 3.56, 4 K 3.56
Ba 0.0000 0.0000 0.5000  4 K 3.56, 4 Si 3.56
Ba 0.0000 0.5000 0.0000  4 K 3.56, 4 Si 3.56
Ba 0.5000 0.0000 0.0000  4 K 3.56, 4 Si 3.56
Ba 0.5000 0.5000 0.5000  4 K 3.56, 4 Si 3.56
Si 0.2500 0.2500 0.7500  4 K 3.56, 4 Ba 3.56
Si 0.2500 0.7500 0.2500  4 K 3.56, 4 Ba 3.56
Si 0.7500 0.2500 0.2500  4 K 3.56, 4 Ba 3.56
Si 0.7500 0.7500 0.7500  4 K 3.56, 4 Ba 3.56